! GGA-PBE Er5CuS4, optimized geometry; values from VASP
&SYSTEM
  ibrav = 0, nat = 10, ntyp = 3
/
ATOMIC_SPECIES
Cu 63.55 Cu.upf
Er 167.26 Er.upf
S 32.06 S.upf
ATOMIC_POSITIONS crystal
Cu 0.000 0.000 0.000
Er 0.197 0.903 0.704
Er 0.803 0.097 0.296
Er 0.600 0.699 0.100
Er 0.400 0.301 0.900
Er 0.000 0.500 0.500
S 0.198 0.400 0.203
S 0.802 0.600 0.797
S 0.603 0.202 0.592
S 0.397 0.798 0.408
CELL_PARAMETERS angstrom
3.741 0.000 0.855
1.575 6.405 1.721
-0.024 -0.006 8.722
! E_form (uncorrected), eV/atom: -1.609
! Calculated total energy, eV/atom: -5.95
! Space group: No. 12
! Crystal system: monoclinic
! Size of the total moment, μB/f.u.: 0.0
! Fermi-level density of states, states/eV/f.u.: 4.65